1.
Be2SbOs | GGA-PBE | optimized geometry

The space group is I-42d (No. 122) and the conventional cell measures 3.928, 3.928 and 16.338 Å, with angles of 90.00, 90.00 and 90.00 degrees. The asymmetric unit holds Be at (0.116, 0.250, 0.125), Sb at (0.000, 0.000, 0.500) and Os at (0.000, 0.000, 0.000).

The magnetization is 0.0 μB/f.u. The crystal system is tetragonal. Its formation energy from raw total energies is 0.5507 eV per atom.

2.
Ga2As2Pb | GGA-PBE | optimized geometry

The space group is P4/mbm (No. 127) and the conventional cell measures 8.151, 8.151 and 3.324 Å, with angles of 90.00, 90.00 and 90.00 degrees. The asymmetric unit holds Ga at (0.139, 0.361, 0.000), As at (0.154, 0.654, 0.500) and Pb at (0.000, 0.000, 0.500).

The energy above the most stable polymorph in this dataset is 6.6 kJ/mol of atoms. The formation energy from the elements comes out at 83 meV per atom. The magnetization is 0.0 μB/f.u. The crystal system is tetragonal.